# PBE SrErAl6, relaxed
data_SrErAl6
_cell_length_a 4.4423
_cell_length_b 6.3147
_cell_length_c 6.0951
_cell_angle_alpha 90.00
_cell_angle_beta 90.00
_cell_angle_gamma 90.00
_symmetry_space_group_name_H-M 'P m m 2'
_symmetry_Int_Tables_number 25
_symmetry_space_group_name_Hall 'P 2 -2'
loop_
_atom_site_label
_atom_site_type_symbol
_atom_site_fract_x
_atom_site_fract_y
_atom_site_fract_z
Sr1 Sr 0.0000 0.0000 0.0000
Er1 Er 0.5000 0.5000 0.2303
Al1 Al 0.0000 0.2598 0.4783
Al2 Al 0.0000 0.5000 0.8762
Al3 Al 0.5000 0.0000 0.4084
Al4 Al 0.5000 0.2826 0.7479
# ΔE_f	-0.243	eV per atom

=====

# PBE DyHo6Cd, relaxed
data_DyHo6Cd
_cell_length_a 9.1860
_cell_length_b 9.1860
_cell_length_c 9.9728
_cell_angle_alpha 90.00
_cell_angle_beta 90.00
_cell_angle_gamma 120.00
_symmetry_space_group_name_H-M 'R -3'
_symmetry_Int_Tables_number 148
_symmetry_space_group_name_Hall '-R 3'
loop_
_atom_site_label
_atom_site_type_symbol
_atom_site_fract_x
_atom_site_fract_y
_atom_site_fract_z
Dy1 Dy 0.0000 0.0000 0.0000
Ho1 Ho 0.0247 0.2573 0.7171
Cd1 Cd 0.0000 0.0000 0.5000
# ΔE_f	0.054	eV per atom

=====

# PBE CaV2Ru, relaxed
data_CaV2Ru
_cell_length_a 6.3930
_cell_length_b 6.3930
_cell_length_c 6.3930
_cell_angle_alpha 90.00
_cell_angle_beta 90.00
_cell_angle_gamma 90.00
_symmetry_space_group_name_H-M 'F m -3 m'
_symmetry_Int_Tables_number 225
_symmetry_space_group_name_Hall '-F 4 2 3'
loop_
_atom_site_label
_atom_site_type_symbol
_atom_site_fract_x
_atom_site_fract_y
_atom_site_fract_z
Ca1 Ca 0.0000 0.0000 0.0000
V1 V 0.2500 0.2500 0.2500
Ru1 Ru 0.0000 0.0000 0.5000
# ΔE_f	0.531	eV per atom
# excess energy over the best structure of this formula in the dataset	0.000	eV/atom

=====

# PBE TaPbI2N, relaxed
data_TaPbI2N
_cell_length_a 6.0374
_cell_length_b 6.0374
_cell_length_c 3.9506
_cell_angle_alpha 90.00
_cell_angle_beta 90.00
_cell_angle_gamma 90.00
_symmetry_space_group_name_H-M 'P 4/m m m'
_symmetry_Int_Tables_number 123
_symmetry_space_group_name_Hall '-P 4 2'
loop_
_atom_site_label
_atom_site_type_symbol
_atom_site_fract_x
_atom_site_fract_y
_atom_site_fract_z
Ta1 Ta 0.0000 0.0000 0.0000
Pb1 Pb 0.5000 0.5000 0.5000
I1 I 0.0000 0.5000 0.0000
N1 N 0.0000 0.0000 0.5000
# formation energy from raw total energies	0.1115	eV/atom
# excess energy over the best structure of this formula in the dataset	0.000	eV/atom

=====

# PBE Mg2AgSb, relaxed
data_Mg2AgSb
_cell_length_a 4.2649
_cell_length_b 4.2649
_cell_length_c 9.5287
_cell_angle_alpha 90.00
_cell_angle_beta 90.00
_cell_angle_gamma 90.00
_symmetry_space_group_name_H-M 'I -4 m 2'
_symmetry_Int_Tables_number 119
_symmetry_space_group_name_Hall 'I -4 -2'
loop_
_atom_site_label
_atom_site_type_symbol
_atom_site_fract_x
_atom_site_fract_y
_atom_site_fract_z
Mg1 Mg 0.0000 0.0000 0.0000
Mg2 Mg 0.0000 0.5000 0.2500
Ag1 Ag 0.0000 0.0000 0.5000
Sb1 Sb 0.0000 0.5000 0.7500
# formation energy from raw total energies	-0.1446	eV/atom
# excess energy over the best structure of this formula in the dataset	0.048	eV/atom

=====

# PBE Sr3RuC, relaxed
data_Sr3RuC
_cell_length_a 5.2812
_cell_length_b 5.2812
_cell_length_c 5.2812
_cell_angle_alpha 90.00
_cell_angle_beta 90.00
_cell_angle_gamma 90.00
_symmetry_space_group_name_H-M 'P m -3 m'
_symmetry_Int_Tables_number 221
_symmetry_space_group_name_Hall '-P 4 2 3'
loop_
_atom_site_label
_atom_site_type_symbol
_atom_site_fract_x
_atom_site_fract_y
_atom_site_fract_z
Sr1 Sr 0.0000 0.0000 0.5000
Ru1 Ru 0.5000 0.5000 0.5000
C1 C 0.0000 0.0000 0.0000
# ΔE_f	0.823	eV per atom
# excess energy over the best structure of this formula in the dataset	0.000	eV/atom